This record from Alexandria describes an optimized crystal structure of AcSmSb2Rh2. The functional is PBE.

The total energy is -0.4565 Ry/atom. Its space group is P-3m1. The volume comes out at 25.09 Å³ per atom. The calculation puts the magnetic moment at 0.00 μB per cell.

a b c (Å): 4.5678 4.5678 8.3313
angles (deg): 90.00 90.00 120.00
Closest atoms and distances in Å follow each position.
Fractional positions:
1 Ac 0.0000 0.0000 0.0000  6 Sb 3.47, 6 Rh 3.47
2 Rh 0.3333 0.6667 0.7288  3 Sb 2.64
3 Rh 0.6667 0.3333 0.2712  3 Sb 2.64
4 Sm 0.0000 0.0000 0.5000  6 Rh 3.25, 6 Sb 3.26
5 Sb 0.3333 0.6667 0.2704  3 Rh 2.64
6 Sb 0.6667 0.3333 0.7296  3 Rh 2.64